# 1
Compound: BaAuI4
Source: Alexandria
Functional: PBE-GGA
Structure: relaxed

POSCAR file:
```
BaAuI4
1.0
5.581 -1.000 0.000
-4.086 9.326 0.000
0.000 0.000 10.846
I Au Ba
8 2 2
direct
0.669 0.919 0.250
0.905 0.655 0.433
0.522 0.771 0.750
0.095 0.345 0.933
0.478 0.229 0.250
0.095 0.345 0.567
0.905 0.655 0.067
0.331 0.081 0.750
0.160 0.910 0.250
0.840 0.090 0.750
0.750 0.500 0.750
0.250 0.500 0.250
```

Results
* symmetry: No. 59
* relative energy among the computed polymorphs: 0.149 eV per formula unit
* energy relative to the elements, uncorrected: -0.857 eV per atom

***

# 2
Compound: Ba2MgAl
Source: Alexandria
Functional: PBE-GGA
Structure: relaxed

POSCAR file:
```
Ba2MgAl
1.0
-5.256 2.835 1.778
-4.485 -2.429 -3.579
4.283 -2.905 3.471
Ba Al Mg
2 1 1
direct
0.250 0.750 0.500
0.000 0.000 0.000
0.750 0.250 0.500
0.500 0.500 0.000
```

Results
* symmetry: No. 119
* relative energy among the computed polymorphs: 0.764 eV per formula unit

***

# 3
Compound: VRu2Rh
Source: Alexandria
Functional: PBE-GGA
Structure: relaxed

POSCAR file:
```
VRu2Rh
1.0
3.717 0.000 0.000
0.000 3.717 0.000
1.859 1.859 8.754
Rh Ru V
2 4 2
direct
0.750 0.250 0.500
0.000 0.000 0.000
0.875 0.856 0.750
0.144 0.625 0.250
0.606 0.125 0.250
0.375 0.394 0.750
0.500 0.500 0.000
0.250 0.750 0.500
```

Results
* symmetry: No. 122
* relative energy among the computed polymorphs: 2.348 eV per formula unit

***

# 4
Compound: Na7Tl4Pb
Source: Alexandria
Functional: PBE-GGA
Structure: relaxed

POSCAR file:
```
Na7Tl4Pb
1.0
5.476 0.000 0.000
-2.738 4.742 0.000
0.000 0.000 13.458
Na Tl Pb
7 4 1
direct
0.667 0.333 0.576
0.333 0.667 0.424
0.000 0.000 0.000
0.000 0.000 0.742
0.000 0.000 0.258
0.667 0.333 0.842
0.333 0.667 0.158
0.667 0.333 0.087
0.667 0.333 0.333
0.333 0.667 0.913
0.333 0.667 0.667
0.000 0.000 0.500
```

Results
* symmetry: No. 164
* relative energy among the computed polymorphs: 0.000 eV per formula unit

***

# 5
Compound: CeCdHgGe
Source: Alexandria
Functional: PBE-GGA
Structure: relaxed

POSCAR file:
```
CeCdHgGe
1.0
5.105 0.000 0.000
2.552 4.421 0.000
2.552 1.474 4.168
Ge Ce Hg Cd
1 1 1 1
direct
0.000 0.000 0.000
0.750 0.750 0.750
0.500 0.500 0.500
0.250 0.250 0.250
```

Results
* symmetry: No. 216

***

# 6
Compound: TaBeAg3
Source: Alexandria
Functional: PBE-GGA
Structure: relaxed

POSCAR file:
```
TaBeAg3
1.0
4.371 0.000 0.000
0.000 4.371 0.000
0.000 0.000 4.371
Ta Ag Be
1 3 1
direct
0.500 0.500 0.500
0.000 0.000 0.500
0.500 0.000 0.000
0.000 0.500 0.000
0.000 0.000 0.000
```

Results
* symmetry: No. 221
* relative energy among the computed polymorphs: 0.000 eV per formula unit

***

# 7
Compound: SrLa3Os
Source: Alexandria
Functional: PBE-GGA
Structure: relaxed

POSCAR file:
```
SrLa3Os
1.0
0.000 7.641 7.641
7.641 0.000 7.641
7.641 7.641 0.000
La Sr Os
12 4 4
direct
0.934 0.934 0.566
0.684 0.684 0.316
0.566 0.934 0.566
0.316 0.684 0.316
0.566 0.566 0.934
0.684 0.316 0.684
0.566 0.934 0.934
0.684 0.316 0.316
0.934 0.566 0.566
0.316 0.316 0.684
0.316 0.684 0.684
0.934 0.566 0.934
0.625 0.125 0.125
0.125 0.125 0.625
0.125 0.625 0.125
0.125 0.125 0.125
0.125 0.625 0.625
0.625 0.625 0.125
0.625 0.625 0.625
0.625 0.125 0.625
```

Results
* symmetry: No. 227
* relative energy among the computed polymorphs: 0.959 eV per formula unit

***

# 8
Compound: La6PmDy2
Source: Alexandria
Functional: PBE-GGA
Structure: relaxed

POSCAR file:
```
La6PmDy2
1.0
3.703 0.000 0.001
0.000 9.266 4.235
-0.001 1.706 10.045
Pm La Dy
1 6 2
direct
0.000 0.000 0.000
0.500 0.325 0.675
0.000 0.507 0.162
0.000 0.838 0.493
0.000 0.162 0.507
0.500 0.675 0.325
0.000 0.493 0.838
0.500 0.824 0.824
0.500 0.176 0.176
```

Results
* symmetry: No. 65
* relative energy among the computed polymorphs: 0.527 eV per formula unit

***

# 9
Compound: CaMgRh2
Source: Alexandria
Functional: PBE-GGA
Structure: relaxed

POSCAR file:
```
CaMgRh2
1.0
-3.421 2.284 -1.769
-0.455 -3.134 -3.166
-7.612 -4.878 2.757
Rh Ca Mg
4 2 2
direct
0.875 0.753 0.750
0.247 0.625 0.250
0.503 0.125 0.250
0.375 0.497 0.750
0.750 0.250 0.500
0.000 0.000 0.000
0.500 0.500 0.000
0.250 0.750 0.500
```

Results
* symmetry: No. 122

***

# 10
Compound: TiPt2Cl
Source: Alexandria
Functional: PBE-GGA
Structure: relaxed

POSCAR file:
```
TiPt2Cl
1.0
6.377 0.000 0.000
0.000 6.377 0.000
3.188 3.188 4.291
Ti Cl Pt
2 2 4
direct
0.000 0.000 0.000
0.750 0.250 0.500
0.250 0.750 0.500
0.500 0.500 0.000
0.642 0.125 0.250
0.375 0.358 0.750
0.875 0.892 0.750
0.108 0.625 0.250
```

Results
* symmetry: No. 122
* relative energy among the computed polymorphs: 0.107 eV per formula unit
* energy relative to the elements, uncorrected: 0.047 eV per atom

***

# 11
Compound: La2SmP3Rh12
Source: Alexandria
Functional: PBE-GGA
Structure: relaxed

POSCAR file:
```
La2SmP3Rh12
1.0
-5.390 4.156 0.028
-1.649 -0.557 -6.581
-4.838 -4.744 0.644
Rh P La Sm
12 3 2 1
direct
0.084 0.649 0.649
0.821 0.349 0.821
0.649 0.084 0.649
0.179 0.179 0.651
0.649 0.649 0.084
0.351 0.916 0.351
0.916 0.351 0.351
0.179 0.651 0.179
0.349 0.821 0.821
0.821 0.821 0.349
0.351 0.351 0.916
0.651 0.179 0.179
0.500 0.000 0.000
0.000 0.000 0.500
0.000 0.500 0.000
0.383 0.383 0.383
0.617 0.617 0.617
0.000 0.000 0.000
```

Results
* symmetry: No. 166

***

# 12
Compound: Sn2SbTe2
Source: Alexandria
Functional: PBE-GGA
Structure: relaxed

POSCAR file:
```
Sn2SbTe2
1.0
-2.181 4.755 6.806
-5.240 -6.246 2.685
3.062 -1.651 2.135
Sb Sn Te
2 4 4
direct
0.000 0.000 0.000
0.500 0.500 0.000
0.843 0.657 0.000
0.343 0.843 0.000
0.657 0.157 0.000
0.157 0.343 0.000
0.159 0.659 0.500
0.841 0.341 0.500
0.659 0.841 0.500
0.341 0.159 0.500
```

Results
* symmetry: No. 127
* relative energy among the computed polymorphs: 0.000 eV per formula unit
* energy relative to the elements, uncorrected: 0.061 eV per atom

***

Number 1: final energy -2.7568 eV per atom. Number 2: final energy -2.2212 eV per atom. Number 3: final energy -8.3581 eV per atom. Number 4: final energy -1.9734 eV per atom. Number 5: final energy -3.2506 eV per atom. Number 6: final energy -4.0675 eV per atom. Number 7: final energy -5.4307 eV per atom. Number 8: final energy -4.7204 eV per atom. Number 9: final energy -4.4767 eV per atom. Number 10: final energy -5.4089 eV per atom. Number 11: final energy -6.9768 eV per atom. Number 12: final energy -3.6215 eV per atom.